No. 1
YSn2HSe4: optimized geometry, PBE-GGA.

uncorrected energy	-35.686	eV per formula unit

Cell: 4.059 7.234 7.303 Å, 71.70 90.00 90.00°
Positions (direct):
Y1 0.000 0.500 0.500
Sn1 0.000 0.000 0.000
Sn2 0.500 0.000 0.500
H1 0.500 0.500 0.000
Se1 0.000 0.754 0.734
Se2 0.000 0.246 0.266
Se3 0.500 0.741 0.264
Se4 0.500 0.259 0.736

No. 2
ZrSnHSe2: optimized geometry, PBE-GGA.

uncorrected energy	-25.518	eV per formula unit

Cell: 5.288 3.890 5.288 Å, 90.00 90.00 90.00°
Positions (direct):
H1 0.000 0.500 0.000
Se1 0.000 0.000 0.500
Se2 0.500 0.000 0.000
Sn1 0.500 0.500 0.500
Zr1 0.000 0.000 0.000

No. 3
SrHSe3: optimized geometry, PBE-GGA.

ΔE to the lowest computed polymorph	0	meV/atom

Cell: 4.644 4.644 4.644 Å, 90.00 90.00 90.00°
Positions (direct):
Sr1 0.500 0.500 0.500
Se1 0.000 0.500 0.000
Se2 0.000 0.000 0.500
Se3 0.500 0.000 0.000
H1 0.000 0.000 0.000

No. 4
SrH2Se: optimized geometry, PBE-GGA.

ΔE to the lowest computed polymorph	0	meV/atom

Cell: 4.389 4.389 4.389 Å, 60.00 60.00 60.00°
Positions (direct):
Sr1 0.500 0.500 0.500
Se1 0.000 0.000 0.000
H1 0.250 0.250 0.250
H2 0.750 0.750 0.750

No. 5
SrH2Se: optimized geometry, PBE-GGA.

ΔE to the lowest computed polymorph	112	meV/atom

Cell: 4.343 4.343 7.945 Å, 74.14 74.14 90.00°
Positions (direct):
Sr1 0.000 0.000 0.000
Sr2 0.750 0.250 0.500
Se1 0.500 0.500 0.000
Se2 0.250 0.750 0.500
H1 0.554 0.125 0.250
H2 0.196 0.625 0.250
H3 0.375 0.446 0.750
H4 0.875 0.804 0.750

No. 6
SrH3Se: optimized geometry, PBE-GGA.

ΔE to the lowest computed polymorph	304	meV/atom

Cell: 4.296 4.296 4.296 Å, 90.00 90.00 90.00°
Positions (direct):
Sr1 0.000 0.000 0.000
Se1 0.500 0.500 0.500
H1 0.000 0.500 0.000
H2 0.000 0.000 0.500
H3 0.500 0.000 0.000

| no. | total magnetization (μB/atom) |
| --- | --- |
| 1 | 0.0756 |
| 2 | 0.0000 |
| 3 | 0.0000 |
| 4 | 0.0000 |
| 5 | 0.0000 |
| 6 | 0.0000 |